## InOsPb2 (PBE)

Data for InOsPb2 after structural relaxation.

Unit cell a=10.5718 b=10.5718 c=10.5718 alpha=17.89 beta=17.89 gamma=17.89
With the nearest neighbours (Å) after each atom.
Positions (direct):
In 0.0000 0.0000 0.0000  3 Os 2.78
Os 0.2683 0.2683 0.2683  3 In 2.78, 3 Pb 2.88
Pb 0.5322 0.5322 0.5322  3 Os 2.88
Pb 0.7602 0.7602 0.7602  6 Pb 3.29, 3 In 3.48

Space group ... No. 160
Total DFT energy (no corrections) ... -4.821 eV per atom